No. 1
A relaxed Pr6CdAu3 crystal. Source: Alexandria, functional PBE.

Properties
**Crystal system**: orthorhombic
**Uncorrected energy**: -4.35 eV/atom
**Calculated formation energy**: -0.404 eV per atom

```
Pr6CdAu3
1.0
7.131 0.000 0.000
0.000 9.552 -0.561
0.000 -2.679 9.186
Pr Cd Au
12 2 6
Direct
0.114 0.732 0.667
0.614 0.667 0.732
0.252 0.499 0.907
0.752 0.907 0.499
0.271 0.966 0.034
0.686 0.277 0.723
0.186 0.723 0.277
0.771 0.034 0.966
0.252 0.093 0.501
0.752 0.501 0.093
0.114 0.333 0.268
0.614 0.268 0.333
0.088 0.168 0.832
0.588 0.832 0.168
0.439 0.976 0.734
0.939 0.734 0.976
0.329 0.428 0.572
0.829 0.572 0.428
0.939 0.024 0.266
0.439 0.266 0.024
```

---

No. 2
A relaxed Pr2Cd3Au6 crystal. Source: Alexandria, functional PBE.

Properties
**Crystal system**: orthorhombic
**Uncorrected energy**: -3.34 eV/atom
**Calculated formation energy**: -0.430 eV per atom

```
Pr2Cd3Au6
1.0
4.039 0.000 0.000
0.000 8.177 0.674
0.000 1.568 8.054
Pr Cd Au
2 3 6
Direct
0.000 0.302 0.698
0.000 0.698 0.302
0.000 0.228 0.228
0.000 0.772 0.772
0.500 0.000 0.000
0.500 0.387 0.387
0.500 0.613 0.613
0.500 0.963 0.350
0.500 0.037 0.650
0.500 0.350 0.963
0.500 0.650 0.037
```